# Tc3WF GGA+U relaxed
# crystal system = cubic
# distance to the lowest polymorph of the same formula = 1130 meV/atom
data_Tc3WF
_chemical_formula_sum 'Tc3 W1 F1'
_cell_length_a 4.9138
_cell_length_b 4.9138
_cell_length_c 4.9138
_cell_angle_alpha 90.00
_cell_angle_beta 90.00
_cell_angle_gamma 90.00
_space_group_name_H-M_alt 'P m -3 m'
_space_group_IT_number 221
_space_group_name_Hall '-P 4 2 3'
loop_
_atom_site_label
_atom_site_type_symbol
_atom_site_fract_x
_atom_site_fract_y
_atom_site_fract_z
Tc1 Tc 0.0000 0.0000 0.5000
W1 W 0.0000 0.0000 0.0000
F1 F 0.5000 0.5000 0.5000